! Nd2BeB10 | the Alexandria database | GGA-PBE | relaxed; values from VASP
&SYSTEM
  ibrav = 0, nat = 26, ntyp = 3
/
ATOMIC_SPECIES
Nd 144.24 Nd.upf
Be 9.01 Be.upf
B 10.81 B.upf
CELL_PARAMETERS angstrom
-1.314 2.407 -3.146
-1.057 -4.593 -3.073
-10.333 -0.337 4.057
ATOMIC_POSITIONS angstrom
Nd -9.920 -0.501 0.991
Nd -2.783 -2.022 -3.153
Nd -8.071 -2.720 -1.479
Nd -4.632 0.197 -0.683
Be -5.695 -2.465 0.492
Be 0.000 0.000 0.000
B -5.718 -0.768 1.800
B -5.671 -4.162 -0.817
B -10.579 -3.206 1.965
B -0.811 -1.724 -0.981
B -7.375 -0.984 2.327
B -4.014 -3.946 -1.343
B -1.751 -0.221 -1.092
B -10.423 -3.270 0.196
B -5.673 -1.643 -2.770
B -7.559 0.088 -0.658
B -10.952 -2.302 -1.070
B -2.280 0.747 -2.358
B -7.031 -0.880 0.608
B -5.144 -2.611 -1.504
B -1.957 -0.194 0.669
B -9.432 -4.736 0.315
B -3.798 -2.534 -0.353
B -7.591 -2.397 1.336
B -2.393 -1.614 -0.235
B -8.997 -3.317 1.219
! ΔE_f in eV/atom: -0.47
! Crystal system: orthorhombic
! Symmetry: Pbam, No. 55

---

! NdPa6S8 | the Alexandria database | GGA-PBE | relaxed; values from VASP
&SYSTEM
  ibrav = 0, nat = 15, ntyp = 3
/
ATOMIC_SPECIES
Nd 144.24 Nd.upf
Pa 231.04 Pa.upf
S 32.06 S.upf
CELL_PARAMETERS angstrom
-6.225 -0.067 -3.803
-4.868 -4.468 3.093
-5.175 3.812 3.451
ATOMIC_POSITIONS angstrom
Nd 0.000 0.000 0.000
Pa -9.645 2.185 2.022
Pa -9.183 -2.071 3.644
Pa -9.964 -1.393 -0.815
Pa -6.623 -2.907 0.719
Pa -7.085 1.348 -0.903
Pa -6.303 0.670 3.556
S -10.852 -0.482 1.829
S -5.416 -0.241 0.913
S -9.310 -3.309 1.124
S -9.822 1.410 -0.666
S -8.955 0.651 4.275
S -6.957 2.586 1.617
S -6.446 -2.133 3.407
S -7.312 -1.374 -1.533
! Crystal system: trigonal
! Formation energy without anion corrections in meV/atom: -1420
! Symmetry: R-3, No. 148

---

! Pr2MgSb | the Alexandria database | GGA-PBE | relaxed; values from VASP
&SYSTEM
  ibrav = 0, nat = 4, ntyp = 3
/
ATOMIC_SPECIES
Pr 140.91 Pr.upf
Sb 121.76 Sb.upf
Mg 24.30 Mg.upf
CELL_PARAMETERS angstrom
4.153 0.000 0.000
2.077 3.597 0.000
2.077 1.199 10.869
ATOMIC_POSITIONS angstrom
Pr 2.077 1.199 7.384
Pr 6.230 3.597 3.485
Sb 4.153 2.398 5.434
Mg 0.000 0.000 0.000
! Crystal system: trigonal
! Formation energy without anion corrections in meV/atom: -121
! Symmetry: R-3m, No. 166
! Polymorph energy (0 for the lowest one) in meV per atom: 474

---

! Ag3Rh5 | the Alexandria database | GGA-PBE | relaxed; values from VASP
&SYSTEM
  ibrav = 0, nat = 16, ntyp = 2
/
ATOMIC_SPECIES
Rh 102.91 Rh.upf
Ag 107.87 Ag.upf
CELL_PARAMETERS angstrom
7.674 0.000 0.001
-6.044 4.729 0.001
-0.815 -2.364 7.274
ATOMIC_POSITIONS angstrom
Rh -4.690 1.619 5.810
Rh 1.383 -0.475 2.304
Rh -3.022 2.366 3.639
Rh -2.168 0.750 5.810
Rh 1.383 -0.476 4.977
Rh -0.567 2.842 2.304
Rh 2.984 1.617 1.472
Rh 3.838 0.001 3.643
Rh -0.568 2.842 4.977
Rh 5.506 0.748 1.472
Ag -0.792 0.275 3.641
Ag 0.408 1.183 0.002
Ag -2.614 3.548 0.841
Ag 3.430 -1.180 6.441
Ag 1.223 3.548 0.003
Ag 1.608 2.092 3.642
! ΔE_f in eV/atom: 0.48
! Crystal system: orthorhombic
! Symmetry: Fmmm, No. 69
! Polymorph energy (0 for the lowest one) in meV per atom: 173

---

! Ba2SrLi2 | the Alexandria database | GGA-PBE | relaxed; values from VASP
&SYSTEM
  ibrav = 0, nat = 10, ntyp = 3
/
ATOMIC_SPECIES
Sr 87.62 Sr.upf
Ba 137.33 Ba.upf
Li 6.94 Li.upf
CELL_PARAMETERS angstrom
-6.239 2.629 -8.070
0.099 -9.992 -3.332
-3.218 -0.777 2.235
ATOMIC_POSITIONS angstrom
Sr 0.000 0.000 0.000
Sr -3.070 -3.681 -5.701
Ba -2.184 -7.675 -5.815
Ba -5.326 -4.085 -9.091
Ba -3.955 0.312 -5.587
Ba -0.813 -3.278 -2.311
Li -2.552 -6.575 -2.393
Li -5.654 -7.025 -7.016
Li -6.805 -1.565 -6.774
Li -3.703 -1.115 -2.151
! ΔE_f in eV/atom: 0.12
! Crystal system: tetragonal
! Symmetry: P4/mbm, No. 127
! Polymorph energy (0 for the lowest one) in meV per atom: 104

---

! Ca2SmCd | the Alexandria database | GGA-PBE | relaxed; values from VASP
&SYSTEM
  ibrav = 0, nat = 4, ntyp = 3
/
ATOMIC_SPECIES
Ca 40.08 Ca.upf
Sm 150.36 Sm.upf
Cd 112.41 Cd.upf
CELL_PARAMETERS angstrom
3.764 0.000 0.000
0.000 3.649 0.000
0.000 -1.824 10.138
ATOMIC_POSITIONS angstrom
Ca 1.882 0.000 2.348
Ca 0.000 0.000 9.505
Sm 0.000 0.000 5.575
Cd 1.882 1.824 7.497
! ΔE_f in eV/atom: -0.05
! Crystal system: orthorhombic
! Symmetry: Amm2, No. 38
! Polymorph energy (0 for the lowest one) in meV per atom: 13

---

! FeP2PbCl | the Alexandria database | GGA-PBE | relaxed; values from VASP
&SYSTEM
  ibrav = 0, nat = 5, ntyp = 4
/
ATOMIC_SPECIES
Pb 207.20 Pb.upf
P 30.97 P.upf
Fe 55.84 Fe.upf
Cl 35.45 Cl.upf
CELL_PARAMETERS angstrom
-3.191 3.671 1.881
1.271 -1.388 4.864
3.974 3.477 -0.045
ATOMIC_POSITIONS angstrom
Pb 0.000 0.000 0.000
P 0.635 -0.694 2.432
P -1.595 1.835 0.941
Fe 1.027 2.880 3.350
Cl 1.987 1.738 -0.023
! Crystal system: tetragonal
! Formation energy without anion corrections in meV/atom: 1304
! Symmetry: P4/mmm, No. 123
! Polymorph energy (0 for the lowest one) in meV per atom: 1195

---

! Sr3Ac5 | the Alexandria database | GGA-PBE | relaxed; values from VASP
&SYSTEM
  ibrav = 0, nat = 8, ntyp = 2
/
ATOMIC_SPECIES
Sr 87.62 Sr.upf
Ac 227.00 Ac.upf
CELL_PARAMETERS angstrom
4.012 -0.336 0.590
-1.667 3.664 -0.590
3.856 -2.717 28.036
ATOMIC_POSITIONS angstrom
Sr 4.459 -0.651 4.281
Sr 1.172 1.664 0.000
Sr 1.743 1.262 23.755
Ac 4.111 -0.406 20.749
Ac 0.761 1.954 16.834
Ac 3.101 0.306 14.018
Ac 5.440 -1.343 11.202
Ac 2.091 1.017 7.287
! ΔE_f in eV/atom: 0.03
! Crystal system: monoclinic
! Symmetry: C2/m, No. 12

---

! KInC | the Alexandria database | GGA-PBE | relaxed; values from VASP
&SYSTEM
  ibrav = 0, nat = 12, ntyp = 3
/
ATOMIC_SPECIES
K 39.10 K.upf
C 12.01 C.upf
In 114.82 In.upf
CELL_PARAMETERS angstrom
10.167 0.000 0.000
0.000 6.405 0.000
0.000 0.000 6.263
ATOMIC_POSITIONS angstrom
K 8.615 1.601 3.096
K 6.635 4.804 6.228
K 1.552 4.804 3.167
K 3.532 1.601 0.035
C 0.730 1.601 1.119
C 4.353 4.804 4.251
C 9.436 4.804 5.144
C 5.814 1.601 2.012
In 0.000 0.000 0.000
In 5.083 3.202 3.132
In 5.083 0.000 3.132
In 0.000 3.202 0.000
! ΔE_f in eV/atom: 0.95
! Crystal system: orthorhombic
! Symmetry: Pnma, No. 62

---

! In4GaHg4 | the Alexandria database | GGA-PBE | relaxed; values from VASP
&SYSTEM
  ibrav = 0, nat = 9, ntyp = 3
/
ATOMIC_SPECIES
In 114.82 In.upf
Ga 69.72 Ga.upf
Hg 200.59 Hg.upf
CELL_PARAMETERS angstrom
3.371 0.000 1.018
1.685 8.128 0.509
-0.664 0.000 8.290
ATOMIC_POSITIONS angstrom
In 0.190 1.465 8.506
In 4.202 6.663 1.310
In 3.462 4.024 3.760
In 0.930 4.104 6.056
Ga 2.528 4.064 0.763
Hg 1.757 1.306 3.316
Hg 2.635 6.822 6.500
Hg 1.731 6.730 3.404
Hg 2.662 1.397 6.412
! ΔE_f in eV/atom: 0.03
! Crystal system: tetragonal
! Symmetry: I4/m, No. 87
! Polymorph energy (0 for the lowest one) in meV per atom: 0

---

! RbMgIN2 | the Alexandria database | GGA-PBE | relaxed; values from VASP
&SYSTEM
  ibrav = 0, nat = 5, ntyp = 4
/
ATOMIC_SPECIES
I 126.90 I.upf
Mg 24.30 Mg.upf
Rb 85.47 Rb.upf
N 14.01 N.upf
CELL_PARAMETERS angstrom
-5.195 1.122 -0.832
-1.212 -2.027 4.834
0.941 6.577 2.994
ATOMIC_POSITIONS angstrom
I 0.471 3.288 1.497
Mg -2.733 2.836 3.498
Rb 0.000 0.000 0.000
N -0.606 -1.013 2.417
N -2.598 0.561 -0.416
! Crystal system: tetragonal
! Formation energy without anion corrections in meV/atom: 1690
! Symmetry: P4/mmm, No. 123
! Polymorph energy (0 for the lowest one) in meV per atom: 1016

---

! Sm3Cd2In3 | the Alexandria database | GGA-PBE | relaxed; values from VASP
&SYSTEM
  ibrav = 0, nat = 16, ntyp = 3
/
ATOMIC_SPECIES
Sm 150.36 Sm.upf
Cd 112.41 Cd.upf
In 114.82 In.upf
CELL_PARAMETERS angstrom
4.799 0.000 0.000
-2.399 5.772 0.000
0.000 0.000 15.738
ATOMIC_POSITIONS angstrom
Sm 2.399 4.838 6.106
Sm 0.000 0.934 13.975
Sm 2.399 4.838 1.762
Sm 0.000 0.934 9.631
Sm 2.399 1.778 3.934
Sm 0.000 3.994 11.803
Cd 2.399 3.290 14.144
Cd 0.000 2.482 6.275
Cd 2.399 3.290 9.463
Cd 0.000 2.482 1.594
In 2.399 1.260 7.174
In 0.000 4.511 15.043
In 2.399 1.260 0.695
In 0.000 4.511 8.564
In 0.000 4.256 3.934
In 2.399 1.516 11.803
! ΔE_f in eV/atom: -0.41
! Crystal system: orthorhombic
! Symmetry: Cmcm, No. 63